(1)
A plane-wave DFT calculation with PBE was carried out for Ba2SrSe2Br2 after structural relaxation.

Cell: 5.813 5.813 9.206 Å, 108.40 108.40 90.00°
Element x y z (fractional)
Ba (0.383, 0.383, 0.766)
Ba (0.617, 0.617, 0.234)
Br (0.809, 0.809, 0.618)
Br (0.191, 0.191, 0.382)
Se (0.500, 0.000, 0.000)
Se (0.000, 0.500, 0.000)
Sr (0.000, 0.000, 0.000)

Properties
E in eV/atom: -4.21
SG: I4/mmm
Total magnetic moment in μB per formula unit: 0.00



(2)
A plane-wave DFT calculation with PBE was carried out for BaSrSe2Br after structural relaxation.

Cell: 5.976 5.976 6.012 Å, 90.00 90.00 90.00°
Element x y z (fractional)
Se (0.000, 0.500, 0.000)
Se (0.500, 0.000, 0.000)
Ba (0.000, 0.000, 0.000)
Sr (0.500, 0.500, 0.500)
Br (0.000, 0.000, 0.500)

Properties
E in eV/atom: -3.52
SG: P4/mmm
Relative energy among the computed polymorphs in eV/atom: 0.3334
Total magnetic moment in μB per formula unit: 0.00



(3)
A plane-wave DFT calculation with PBE was carried out for BaSrSe2Br after structural relaxation.

Cell: 5.754 5.754 5.790 Å, 90.00 90.00 90.00°
Element x y z (fractional)
Sr (0.000, 0.000, 0.000)
Se (0.500, 0.000, 0.000)
Se (0.000, 0.500, 0.000)
Br (0.000, 0.000, 0.500)
Ba (0.500, 0.500, 0.500)

Properties
E in eV/atom: -3.85
SG: P4/mmm
Relative energy among the computed polymorphs in eV/atom: 0.0000
Total magnetic moment in μB per formula unit: 0.00



(4)
A plane-wave DFT calculation with PBE was carried out for BaTaSe2Br after structural relaxation.

Cell: 5.981 5.981 5.857 Å, 90.00 90.00 90.00°
Site moments in Bohr magnetons follow the coordinates.
Element x y z (fractional)
Br (0.000, 0.000, 0.500)  -0.02
Ba (0.000, 0.000, 0.000)  0.00
Ta (0.500, 0.500, 0.500)  0.27
Se (0.500, 0.000, 0.000)  0.04
Se (0.000, 0.500, 0.000)  0.04

Properties
E in eV/atom: -3.43
SG: P4/mmm
Relative energy among the computed polymorphs in eV/atom: 2.0616
Total magnetic moment in μB per formula unit: 0.43